Material: Pr12Nd5Dy
Method: DFT, PBE
State: relaxed

a = 15.681 Å, b = 11.085 Å, c = 5.231 Å
α = 90.00°, β = 90.00°, γ = 44.98°
Positions (direct):
Pr 0.835 0.000 0.500
Pr 0.165 0.000 0.500
Pr 0.667 0.000 0.000
Pr 0.333 0.000 0.000
Pr 0.332 0.668 0.000
Pr 0.001 0.668 0.000
Pr 0.999 0.332 0.000
Pr 0.668 0.332 0.000
Pr 0.500 0.334 0.500
Pr 0.833 0.666 0.500
Pr 0.167 0.334 0.500
Pr 0.500 0.666 0.500
Nd 0.500 0.000 0.500
Nd 0.166 0.669 0.500
Nd 0.834 0.331 0.500
Nd 0.667 0.666 0.000
Nd 0.333 0.334 0.000
Dy 0.000 0.000 0.000

Results
DFT total energy: -4.7540 eV/atom
ΔE_f: 12 meV/atom
M_tot: 0.0 μB per cell